First-principles (PBE) data for a relaxed V6Si2Ge crystal, as listed in Alexandria via LeMat-Bulk.

Output
Calculated density (g cm⁻³): 5.8
ΔE_f (raw) (meV/atom): -277.8
Space group: No. 71
Spin magnetization (Bohr magnetons per cell): 0.0

Unit cell a=6.897 b=6.897 c=6.897 alpha=100.52 beta=112.85 gamma=115.41
Sites, in units of the cell vectors:
Ge 0.000 0.000 0.000
Ge 0.000 0.500 0.500
V 0.719 0.046 0.327
V 0.719 0.393 0.673
V 0.796 0.256 0.052
V 0.281 0.607 0.327
V 0.093 0.296 0.797
V 0.281 0.954 0.673
V 0.204 0.744 0.948
V 0.796 0.744 0.539
V 0.501 0.704 0.797
V 0.907 0.704 0.203
V 0.499 0.296 0.203
V 0.204 0.256 0.461
Si 0.655 0.000 0.655
Si 0.345 0.000 0.345
Si 0.500 0.369 0.869
Si 0.500 0.631 0.131


First-principles (PBE) data for a relaxed Pm8GeTe4S3 crystal, as listed in Alexandria via LeMat-Bulk.

Output
Calculated density (g cm⁻³): 6.9
ΔE_f (raw) (meV/atom): -1622.3
Space group: No. 166
Spin magnetization (Bohr magnetons per cell): 0.0

Unit cell a=8.438 b=8.713 c=8.438 alpha=118.96 beta=120.00 gamma=90.00
Sites, in units of the cell vectors:
Ge 0.000 0.500 0.000
Pm 0.761 0.287 0.522
Pm 0.264 0.287 0.026
Pm 0.264 0.292 0.528
Pm 0.736 0.708 0.472
Pm 0.736 0.713 0.974
Pm 0.761 0.287 0.026
Pm 0.239 0.713 0.478
Pm 0.239 0.713 0.974
Te 0.500 0.000 0.000
Te 0.500 0.000 0.500
Te 0.000 0.000 0.500
Te 0.000 0.000 0.000
S 0.500 0.500 0.000
S 0.500 0.500 0.500
S 0.000 0.500 0.500


First-principles (PBE) data for a relaxed ScHgSb2Ru crystal, as listed in Alexandria via LeMat-Bulk.

Output
Calculated density (g cm⁻³): 7.5
ΔE_f (raw) (meV/atom): 36.7
Space group: No. 123
Spin magnetization (Bohr magnetons per cell): 0.0

Unit cell a=5.123 b=5.123 c=4.976 alpha=90.00 beta=90.00 gamma=90.00
Sites, in units of the cell vectors:
Sb 0.500 0.000 0.000
Sb 0.000 0.500 0.000
Sc 0.000 0.000 0.500
Ru 0.000 0.000 0.000
Hg 0.500 0.500 0.500


First-principles (PBE) data for a relaxed AlAu3 crystal, as listed in Alexandria via LeMat-Bulk.

Output
Calculated density (g cm⁻³): 14.9
Space group: No. 47
Spin magnetization (Bohr magnetons per cell): 0.0
Total DFT energy (no corrections) (eV per cell): -14.41

Unit cell a=3.185 b=3.303 c=6.546 alpha=90.00 beta=90.00 gamma=90.00
Sites, in units of the cell vectors:
Al 0.000 0.000 0.000
Au 0.000 0.000 0.500
Au 0.500 0.500 0.223
Au 0.500 0.500 0.777


First-principles (PBE) data for a relaxed Na8B13C3 crystal, as listed in Alexandria via LeMat-Bulk.

Output
Calculated density (g cm⁻³): 2.3
Space group: No. 25
Spin magnetization (Bohr magnetons per cell): 0.0
Polymorph energy (0 for the lowest one) (eV per atom): 0.029

Unit cell a=2.914 b=8.622 c=10.299 alpha=90.00 beta=90.00 gamma=90.00
Sites, in units of the cell vectors:
B 0.000 0.750 0.337
B 0.500 0.750 0.581
B 0.500 0.250 0.061
B 0.000 0.750 0.830
B 0.000 0.250 0.173
B 0.000 0.750 0.667
B 0.000 0.750 0.169
B 0.500 0.750 0.084
B 0.500 0.250 0.587
B 0.000 0.250 0.347
B 0.000 0.250 0.826
B 0.500 0.750 0.921
B 0.500 0.750 0.414
Na 0.000 0.001 0.501
Na 0.000 0.998 0.999
Na 0.000 0.502 0.999
Na 0.500 0.500 0.749
Na 0.500 0.000 0.749
Na 0.500 0.003 0.252
Na 0.500 0.497 0.252
Na 0.000 0.499 0.501
C 0.500 0.250 0.908
C 0.500 0.250 0.427
C 0.000 0.250 0.667


First-principles (PBE) data for a relaxed ReSiIr2 crystal, as listed in Alexandria via LeMat-Bulk.

Output
Calculated density (g cm⁻³): 17.6
ΔE_f (raw) (meV/atom): -230.2
Space group: No. 166
Spin magnetization (Bohr magnetons per cell): 0.0

Unit cell a=8.503 b=8.503 c=8.503 alpha=18.92 beta=18.92 gamma=18.92
Sites, in units of the cell vectors:
Si 0.750 0.750 0.750
Ir 0.494 0.494 0.494
Ir 0.006 0.006 0.006
Re 0.250 0.250 0.250